VASP calculation (PBE) on a relaxed Ta2MnCo3 crystal.

Calculated values
E   -9.264 eV per atom
SG   R-3m (166)
Formation energy   -0.23 eV/atom

POSCAR file:
```
Ta2MnCo3
1.0
4.2625 -0.1270 -2.2399
-2.7097 3.9772 -0.2050
-0.2215 0.0912 4.7502
Mn Co Ta
1 3 2
direct
0.0000 0.0000 0.0000 Mn
0.5000 0.5000 0.5000 Co
0.5000 0.0000 0.5000 Co
0.0000 0.0000 0.5000 Co
0.7471 0.3736 0.1207 Ta
0.2529 0.6264 0.8793 Ta
```